(1)
CaGa2Co (PBE-GGA, relaxed); symmetry = I-42d, No. 122; VASP energy = -0.2833 Ry/atom
1.0
4.997 0.000 0.000
0.000 4.997 0.000
0.000 0.000 15.219
Ca Ga Co
4 8 4
Cartesian
0.000 0.000 0.000 Ca
0.000 2.498 3.805 Ca
2.498 0.000 11.414 Ca
2.498 2.498 7.609 Ca
0.101 1.249 9.512 Ga
1.249 2.599 13.316 Ga
1.249 4.896 5.707 Ga
2.397 1.249 1.902 Ga
2.599 3.747 1.902 Ga
3.747 0.101 5.707 Ga
3.747 2.397 13.316 Ga
4.896 3.747 9.512 Ga
0.000 0.000 7.609 Co
0.000 2.498 11.414 Co
2.498 0.000 3.805 Co
2.498 2.498 0.000 Co

---

(2)
CaMnTe2 (PBE-GGA, relaxed); symmetry = P4mm, No. 99; energy above the lowest structure with this stoichiometry = 0.069 eV/atom
1.0
4.333 0.000 0.000
0.000 4.333 0.000
0.000 0.000 6.250
Ca Mn Te
1 1 2
Cartesian
0.000 0.000 0.000 Ca
2.166 2.166 2.887 Mn
0.000 0.000 3.128 Te
2.166 2.166 0.028 Te

---

(3)
Th4FeBi (PBE-GGA, relaxed); symmetry = C2/c, No. 15; energy above the lowest structure with this stoichiometry = 0.046 eV/atom
1.0
4.562 -6.489 0.000
4.562 6.489 0.000
-1.930 0.000 5.757
Th Fe Bi
8 2 2
Cartesian
1.742 4.342 5.451 Th
1.376 1.253 3.612 Th
4.486 4.342 3.185 Th
2.341 -1.253 0.733 Th
4.852 1.253 5.024 Th
2.707 -4.342 2.572 Th
5.817 -1.253 2.145 Th
5.452 -4.342 0.306 Th
4.079 6.479 1.439 Fe
3.114 -6.479 4.318 Fe
4.079 1.493 1.439 Bi
3.114 -1.493 4.318 Bi

---

(4)
TiSeN2Cl (PBE-GGA, relaxed); symmetry = P4/mmm, No. 123; energy above the lowest structure with this stoichiometry = 0.000 eV/atom
1.0
3.848 0.000 0.000
0.000 3.848 0.000
0.000 0.000 5.714
Ti Se N Cl
1 1 2 1
Cartesian
0.000 0.000 0.000 Ti
0.000 0.000 2.857 Se
0.000 1.924 0.000 N
1.924 0.000 0.000 N
1.924 1.924 2.857 Cl

---

(5)
Pm4HoIr3 (PBE-GGA, relaxed); symmetry = I4/mcm, No. 140; VASP energy = -0.5069 Ry/atom
1.0
-5.629 5.629 3.084
5.629 -5.629 3.084
5.629 5.629 -3.084
Pm Ho Ir
8 2 6
Cartesian
8.881 0.935 0.000 Pm
0.935 2.378 0.000 Pm
6.564 3.252 0.000 Pm
3.252 4.695 0.000 Pm
2.378 0.935 3.084 Pm
-0.935 2.378 3.084 Pm
4.695 3.252 3.084 Pm
-3.252 4.695 3.084 Pm
5.629 0.000 1.542 Ho
0.000 5.629 1.542 Ho
3.928 1.701 0.000 Ir
0.000 0.000 1.542 Ir
3.928 -1.701 3.084 Ir
1.701 7.331 0.000 Ir
0.000 0.000 4.626 Ir
1.701 3.928 3.084 Ir

---

(6)
Cd6Ag5Rh (PBE-GGA, relaxed); symmetry = P2/m, No. 10; VASP energy = -0.1703 Ry/atom
1.0
4.431 0.000 0.000
0.000 7.608 0.000
-2.111 0.000 6.735
Cd Ag Rh
6 5 1
Cartesian
0.000 1.821 0.000 Cd
0.000 5.787 0.000 Cd
0.074 1.869 4.562 Cd
0.074 5.739 4.562 Cd
2.246 1.869 2.173 Cd
2.246 5.739 2.173 Cd
0.034 0.000 2.280 Ag
0.031 3.804 2.290 Ag
2.215 3.804 0.000 Ag
2.286 0.000 4.455 Ag
2.289 3.804 4.445 Ag
2.215 0.000 0.000 Rh

---

Number 1: density of states at the Fermi level 0.5159 states/eV/atom, total magnetic moment 0.0 μB per cell. Number 2: density of states at the Fermi level 0.1001 states/eV/atom, total magnetic moment 5.0 μB per cell. Number 3: density of states at the Fermi level 1.3515 states/eV/atom, total magnetic moment 0.0 μB per cell. Number 4: density of states at the Fermi level 0.7711 states/eV/atom, total magnetic moment 0.0 μB per cell. Number 5: density of states at the Fermi level 0.7215 states/eV/atom, total magnetic moment 0.0 μB per cell. Number 6: density of states at the Fermi level 0.3575 states/eV/atom, total magnetic moment 0.0 μB per cell.